Crystalline AgSeN2O at its relaxed geometry, computed with PBE-GGA.

## Properties
Crystal system: tetragonal
Total energy in eV per atom: -3.532
DOS at the Fermi energy in states/eV/atom: 0.474

a = 3.9631 Å, b = 3.9631 Å, c = 4.0820 Å
α = 90.00°, β = 90.00°, γ = 90.00°
Space group P4/mmm (No. 123)
Symmetry-distinct sites (fractional):
Ag1 0.0000 0.0000 0.0000 x1
Se1 0.5000 0.5000 0.0000 x1
N1 0.0000 0.5000 0.5000 x2
O1 0.5000 0.5000 0.5000 x1

Crystalline SiAgN2O at its relaxed geometry, computed with PBE-GGA.

## Properties
Crystal system: tetragonal
Total energy in eV per atom: -5.737
DOS at the Fermi energy in states/eV/atom: 0.493

a = 3.7251 Å, b = 3.7251 Å, c = 3.5622 Å
α = 90.00°, β = 90.00°, γ = 90.00°
Space group P4/mmm (No. 123)
Symmetry-distinct sites (fractional):
Si1 0.0000 0.0000 0.0000 x1
Ag1 0.5000 0.5000 0.5000 x1
N1 0.0000 0.5000 0.0000 x2
O1 0.0000 0.0000 0.5000 x1

Crystalline SiAgN2O at its relaxed geometry, computed with PBE-GGA.

## Properties
Crystal system: tetragonal
Total energy in eV per atom: -4.096
DOS at the Fermi energy in states/eV/atom: 0.347

a = 4.0285 Å, b = 4.0285 Å, c = 4.2333 Å
α = 90.00°, β = 90.00°, γ = 90.00°
Space group P4/mmm (No. 123)
Symmetry-distinct sites (fractional):
Si1 0.0000 0.0000 0.0000 x1
Ag1 0.5000 0.5000 0.5000 x1
N1 0.0000 0.5000 0.5000 x2
O1 0.5000 0.5000 0.0000 x1

Crystalline SiAgNO2 at its relaxed geometry, computed with PBE-GGA.

## Properties
Crystal system: tetragonal
Total energy in eV per atom: -4.120
DOS at the Fermi energy in states/eV/atom: 0.424

a = 4.1402 Å, b = 4.1402 Å, c = 3.9477 Å
α = 90.00°, β = 90.00°, γ = 90.00°
Space group P4/mmm (No. 123)
Symmetry-distinct sites (fractional):
Si1 0.0000 0.0000 0.0000 x1
Ag1 0.5000 0.5000 0.5000 x1
N1 0.5000 0.5000 0.0000 x1
O1 0.0000 0.5000 0.5000 x2

Crystalline SiAgNO2 at its relaxed geometry, computed with PBE-GGA.

## Properties
Crystal system: tetragonal
Total energy in eV per atom: -5.809
DOS at the Fermi energy in states/eV/atom: 0.664

a = 3.5469 Å, b = 3.5469 Å, c = 3.8400 Å
α = 90.00°, β = 90.00°, γ = 90.00°
Space group P4/mmm (No. 123)
Symmetry-distinct sites (fractional):
Si1 0.0000 0.0000 0.0000 x1
Ag1 0.5000 0.5000 0.5000 x1
N1 0.0000 0.0000 0.5000 x1
O1 0.0000 0.5000 0.0000 x2

Crystalline AgSnNO2 at its relaxed geometry, computed with PBE-GGA.

## Properties
Crystal system: tetragonal
Total energy in eV per atom: -4.329
DOS at the Fermi energy in states/eV/atom: 0.512

a = 4.0413 Å, b = 4.0413 Å, c = 4.1350 Å
α = 90.00°, β = 90.00°, γ = 90.00°
Space group P4/mmm (No. 123)
Symmetry-distinct sites (fractional):
Ag1 0.0000 0.0000 0.0000 x1
Sn1 0.5000 0.5000 0.5000 x1
N1 0.0000 0.0000 0.5000 x1
O1 0.0000 0.5000 0.0000 x2

- Among the records above, which one has the highest DOS at the Fermi energy?
  number 5

Copy entry 6 word for word.
Crystalline AgSnNO2 at its relaxed geometry, computed with PBE-GGA.

## Properties
Crystal system: tetragonal
Total energy in eV per atom: -4.329
DOS at the Fermi energy in states/eV/atom: 0.512

a = 4.0413 Å, b = 4.0413 Å, c = 4.1350 Å
α = 90.00°, β = 90.00°, γ = 90.00°
Space group P4/mmm (No. 123)
Symmetry-distinct sites (fractional):
Ag1 0.0000 0.0000 0.0000 x1
Sn1 0.5000 0.5000 0.5000 x1
N1 0.0000 0.0000 0.5000 x1
O1 0.0000 0.5000 0.0000 x2